The following is a PBEsol calculation of an optimized crystal structure of MgMnZn4, from the Alexandria database.

Values from the calculation:
Magnetic moment = 3.41 μB/cell
D(E_F) = 0.288 states/eV/atom
Electronic total energy = -2.95 eV/atom

```
data_MgMnZn4
_space_group_name_H-M_alt 'P 1'
_space_group_IT_number 1
_space_group_name_Hall 'P 1'
_cell_length_a 4.9917
_cell_length_b 4.9917
_cell_length_c 4.9917
_cell_angle_alpha 60.00
_cell_angle_beta 60.00
_cell_angle_gamma 60.00
loop_
_atom_site_label
_atom_site_type_symbol
_atom_site_fract_x
_atom_site_fract_y
_atom_site_fract_z
Zn1 Zn 0.3742 0.3742 0.3742
Zn2 Zn 0.3742 0.8774 0.3742
Zn3 Zn 0.8774 0.3742 0.3742
Mg1 Mg 0.7500 0.7500 0.7500
Mn1 Mn 0.0000 0.0000 0.0000
Zn4 Zn 0.3742 0.3742 0.8774
```